[1]
A plane-wave DFT calculation with PBE was carried out for crystalline In2Au5 at its relaxed geometry.

Geometry as POSCAR:
```
In2Au5
1.0
-2.971 3.818 -2.279
-0.747 -4.263 -6.168
-4.069 -4.910 3.353
In Au
4 10
direct
0.210 0.460 0.728
0.482 0.040 0.272
0.790 0.540 0.272
0.518 0.960 0.728
0.230 0.391 0.147
0.083 0.109 0.853
0.375 0.680 0.434
0.941 0.820 0.566
0.625 0.320 0.566
0.059 0.180 0.434
0.917 0.891 0.147
0.770 0.609 0.853
0.674 0.250 0.000
0.326 0.750 0.000
```

Computed properties:
The calculation puts the energy of formation from the pure elements at -0.1292 eV/atom. The value obtained for the energy above the most stable polymorph in this dataset is 0.0 meV per atom.

[2]
A plane-wave DFT calculation with PBE was carried out for crystalline In3Au at its relaxed geometry.

Geometry as POSCAR:
```
In3Au
1.0
-3.571 -3.715 -0.571
1.302 -4.973 0.673
-1.728 -2.594 4.143
Au In
1 3
direct
0.000 0.000 0.000
0.250 0.250 0.250
0.500 0.500 0.500
0.750 0.750 0.750
```

Computed properties:
The calculation puts the energy of formation from the pure elements at 0.0405 eV/atom.

[3]
A plane-wave DFT calculation with PBE was carried out for crystalline In4Au at its relaxed geometry.

Geometry as POSCAR:
```
In4Au
1.0
7.756 -3.742 -0.184
6.241 -2.640 5.317
-8.256 0.577 -2.389
In Au
4 1
direct
0.750 0.250 0.500
0.250 0.750 0.500
0.589 0.589 0.000
0.411 0.411 0.000
0.000 0.000 0.000
```

Computed properties:
The calculation puts the energy of formation from the pure elements at 0.1508 eV/atom.